Material: RbAgHg4
Method: DFT, PBE-GGA
State: relaxed

Output
ΔE_f: -0.09 eV per atom
Offset from the most stable computed form: 0.000 eV/atom

a b c (Å): 18.806 7.938 5.351
angles (deg): 90.00 98.84 90.00
Space group C2/m (No. 12)
Inequivalent atoms, fractional coordinates:
Rb 0.187 0.000 0.216 x4
Ag 0.023 0.500 0.264 x4
Hg 0.000 0.181 0.000 x4
Hg 0.119 0.290 0.675 x8
Hg 0.180 0.500 0.212 x4